GaPdN2 | Alexandria | PBE-GGA | relaxed; uncorrected formation energy = 2.9 eV per formula unit; symmetry = No. 166; D(E_F) = 0.664 states/eV/atom; DFT total energy = -22.0 eV per cell
1.0
0.778 0.001 6.027
3.716 -0.300 4.799
2.344 2.584 4.976
Pd N Ga
1 2 1
Direct
0.500 0.500 0.500
0.108 0.108 0.108
0.892 0.892 0.892
0.000 0.000 0.000